Record 1
Computed, not measured: a relaxed HoTmAlAg crystal at the PBE-GGA level of DFT.

a = 3.523 Å, b = 3.523 Å, c = 7.476 Å
α = 90.00°, β = 90.00°, γ = 90.00°
Atoms (fractional coordinates):
Ho 0.000 0.000 0.000
Tm 0.000 0.000 0.502
Al 0.500 0.500 0.253
Ag 0.500 0.500 0.743

total moment	0.000	μB per atom
offset from the most stable computed form	0.00	kJ/mol of atoms
energy of formation	-0.367	eV/atom
crystal system	tetragonal
ρ	8.39	Mg/m³

=====

Record 2
Computed, not measured: a relaxed Zr6Pt3Rh crystal at the PBE-GGA level of DFT.

a = 7.336 Å, b = 6.630 Å, c = 11.037 Å
α = 90.00°, β = 128.34°, γ = 90.00°
Atoms (fractional coordinates):
Zr 0.003 0.103 0.249
Zr 0.003 0.397 0.749
Zr 0.221 0.144 0.059
Zr 0.221 0.356 0.559
Zr 0.393 0.666 0.076
Zr 0.393 0.834 0.576
Zr 0.607 0.166 0.424
Zr 0.607 0.334 0.924
Zr 0.779 0.644 0.441
Zr 0.779 0.856 0.941
Zr 0.997 0.603 0.251
Zr 0.997 0.897 0.751
Pt 0.000 0.000 0.500
Pt 0.000 0.500 0.000
Pt 0.336 0.660 0.788
Pt 0.336 0.840 0.288
Pt 0.664 0.160 0.712
Pt 0.664 0.340 0.212
Rh 0.500 0.000 0.000
Rh 0.500 0.500 0.500

total moment	0.000	μB per atom
energy of formation	-0.578	eV/atom
crystal system	monoclinic
ρ	9.74	Mg/m³

=====

Record 3
Computed, not measured: a relaxed ErScU crystal at the PBE-GGA level of DFT.

a = 5.361 Å, b = 5.361 Å, c = 3.045 Å
α = 90.00°, β = 90.00°, γ = 120.00°
Atoms (fractional coordinates):
Er 0.000 0.000 0.000
Sc 0.333 0.667 0.501
U 0.667 0.333 0.500

total moment	0.938	μB per atom
offset from the most stable computed form	16.73	kJ/mol of atoms
energy of formation	0.362	eV/atom
crystal system	trigonal
ρ	9.86	Mg/m³

=====

Record 4
Computed, not measured: a relaxed ZnIn2BSb crystal at the PBE-GGA level of DFT.

a = 6.156 Å, b = 6.156 Å, c = 4.156 Å
α = 90.00°, β = 90.00°, γ = 90.00°
Atoms (fractional coordinates):
Zn 0.000 0.000 0.000
In 0.000 0.500 0.500
In 0.500 0.000 0.500
B 0.500 0.500 0.000
Sb 0.500 0.500 0.500

total moment	0.000	μB per atom
crystal system	tetragonal
ρ	4.51	Mg/m³
formation energy without anion corrections	1.06	eV per atom